This record from the Alexandria database describes a geometry-optimized Cd2SnIrPd structure. The functional is PBE.

Cell and atoms, written as CIF:
```
data_Cd2SnIrPd
_chemical_formula_sum 'Cd2 Sn1 Ir1 Pd1'
_space_group_name_H-M_alt 'P 4/m m m'
_space_group_IT_number 123
_space_group_name_Hall '-P 4 2'
_cell_length_a 5.003
_cell_length_b 5.003
_cell_length_c 4.930
_cell_angle_alpha 90.00
_cell_angle_beta 90.00
_cell_angle_gamma 90.00
loop_
_atom_site_label
_atom_site_type_symbol
_atom_site_fract_x
_atom_site_fract_y
_atom_site_fract_z
Cd1 Cd 0.000 0.500 0.000
Sn1 Sn 0.000 0.000 0.500
Ir1 Ir 0.500 0.500 0.500
Pd1 Pd 0.000 0.000 0.000
```

## Properties
The density is 8642 kg/m³. The uncorrected energy comes out at -16.10 eV for the cell shown. The density of states at the Fermi level comes out at 4.5 states/eV per cell.

***

This record from the Alexandria database describes a geometry-optimized TbCdIrPd structure. The functional is PBE.

Cell and atoms, written as CIF:
```
data_TbCdIrPd
_chemical_formula_sum 'Tb4 Cd4 Ir4 Pd4'
_space_group_name_H-M_alt 'F -4 3 m'
_space_group_IT_number 216
_space_group_name_Hall 'F -4 2 3'
_cell_length_a 6.733
_cell_length_b 6.733
_cell_length_c 6.733
_cell_angle_alpha 90.00
_cell_angle_beta 90.00
_cell_angle_gamma 90.00
loop_
_atom_site_label
_atom_site_type_symbol
_atom_site_fract_x
_atom_site_fract_y
_atom_site_fract_z
Tb1 Tb 0.000 0.000 0.000
Cd1 Cd 0.000 0.000 0.500
Ir1 Ir 0.250 0.250 0.250
Pd1 Pd 0.250 0.250 0.750
```

## Properties
The density is 12405 kg/m³. The uncorrected energy comes out at -86.87 eV for the cell shown. The density of states at the Fermi level comes out at 5.8 states/eV per cell.

***

This record from the Alexandria database describes a geometry-optimized Tm4CdIr2Pd structure. The functional is PBE.

Cell and atoms, written as CIF:
```
data_Tm4CdIr2Pd
_chemical_formula_sum 'Tm12 Cd3 Ir6 Pd3'
_space_group_name_H-M_alt 'R -3 m'
_space_group_IT_number 166
_space_group_name_Hall '-R 3 2"'
_cell_length_a 4.9061
_cell_length_b 4.9061
_cell_length_c 23.9842
_cell_angle_alpha 90.00
_cell_angle_beta 90.00
_cell_angle_gamma 120.00
loop_
_atom_site_label
_atom_site_type_symbol
_atom_site_fract_x
_atom_site_fract_y
_atom_site_fract_z
Tm1 Tm 0.0000 0.0000 0.1210
Tm2 Tm 0.0000 0.0000 0.3715
Cd1 Cd 0.0000 0.0000 0.5000
Ir1 Ir 0.0000 0.0000 0.2487
Pd1 Pd 0.0000 0.0000 0.0000
```

## Properties
The density is 12744 kg/m³. The uncorrected energy comes out at -143.85 eV for the cell shown. The density of states at the Fermi level comes out at 14.8 states/eV per cell.

***

This record from the Alexandria database describes a geometry-optimized Tm4CdIrPd2 structure. The functional is PBE.

Cell and atoms, written as CIF:
```
data_Tm4CdIrPd2
_chemical_formula_sum 'Tm12 Cd3 Ir3 Pd6'
_space_group_name_H-M_alt 'R -3 m'
_space_group_IT_number 166
_space_group_name_Hall '-R 3 2"'
_cell_length_a 4.9490
_cell_length_b 4.9490
_cell_length_c 24.2398
_cell_angle_alpha 90.00
_cell_angle_beta 90.00
_cell_angle_gamma 120.00
loop_
_atom_site_label
_atom_site_type_symbol
_atom_site_fract_x
_atom_site_fract_y
_atom_site_fract_z
Tm1 Tm 0.0000 0.0000 0.1171
Tm2 Tm 0.0000 0.0000 0.3684
Cd1 Cd 0.0000 0.0000 0.5000
Ir1 Ir 0.0000 0.0000 0.0000
Pd1 Pd 0.0000 0.0000 0.2452
```

## Properties
The density is 11561 kg/m³. The uncorrected energy comes out at -133.22 eV for the cell shown. The density of states at the Fermi level comes out at 13.8 states/eV per cell.

***

This record from the Alexandria database describes a geometry-optimized YCdIrPd structure. The functional is PBE.

Cell and atoms, written as CIF:
```
data_YCdIrPd
_chemical_formula_sum 'Y4 Cd4 Ir4 Pd4'
_space_group_name_H-M_alt 'F -4 3 m'
_space_group_IT_number 216
_space_group_name_Hall 'F -4 2 3'
_cell_length_a 6.727
_cell_length_b 6.727
_cell_length_c 6.727
_cell_angle_alpha 90.00
_cell_angle_beta 90.00
_cell_angle_gamma 90.00
loop_
_atom_site_label
_atom_site_type_symbol
_atom_site_fract_x
_atom_site_fract_y
_atom_site_fract_z
Y1 Y 0.000 0.000 0.000
Cd1 Cd 0.000 0.000 0.500
Ir1 Ir 0.250 0.250 0.750
Pd1 Pd 0.250 0.250 0.250
```

## Properties
The density is 10909 kg/m³. The uncorrected energy comes out at -94.16 eV for the cell shown. The density of states at the Fermi level comes out at 5.2 states/eV per cell.

***

This record from the Alexandria database describes a geometry-optimized ZnCdIrPd2 structure. The functional is PBE.

Cell and atoms, written as CIF:
```
data_ZnCdIrPd2
_chemical_formula_sum 'Zn1 Cd1 Ir1 Pd2'
_space_group_name_H-M_alt 'P 4/m m m'
_space_group_IT_number 123
_space_group_name_Hall '-P 4 2'
_cell_length_a 4.593
_cell_length_b 4.593
_cell_length_c 4.640
_cell_angle_alpha 90.00
_cell_angle_beta 90.00
_cell_angle_gamma 90.00
loop_
_atom_site_label
_atom_site_type_symbol
_atom_site_fract_x
_atom_site_fract_y
_atom_site_fract_z
Zn1 Zn 0.000 0.000 0.000
Cd1 Cd 0.500 0.500 0.500
Ir1 Ir 0.000 0.000 0.500
Pd1 Pd 0.000 0.500 0.000
```

## Properties
The density is 9887 kg/m³. The uncorrected energy comes out at -18.41 eV for the cell shown. The density of states at the Fermi level comes out at 5.2 states/eV per cell.

***

- Which of these has the lowest uncorrected energy?
  Tm4CdIr2Pd

***

- Which formula does entry 3 have?
  Tm4CdIr2Pd

***

- What is the uncorrected energy in the fourth record?
  -133.22 eV for the cell shown